(a)
{
  "formula": "Ti2MnBeH",
  "functional": "PBE",
  "state": "relaxed",
  "cell": [[4.105, 0.000, 0.000], [0.000, 4.105, 0.000], [0.000, 0.000, 3.264]],
  "species": ["Ti", "Ti", "Mn", "Be", "H"],
  "frac_coords": [[0.000, 0.500, 0.000], [0.500, 0.000, 0.000], [0.000, 0.000, 0.500], [0.500, 0.500, 0.500], [0.000, 0.000, 0.000]],
  "volume_a3_per_atom": 11.00,
  "dos_ef_per_ev_cell": 2.0
}

***

(b)
{
  "formula": "Ti2MnBeH",
  "functional": "PBE",
  "state": "relaxed",
  "cell": [[4.136, 0.000, 0.000], [0.000, 4.136, 0.000], [0.000, 0.000, 3.113]],
  "species": ["Ti", "Ti", "Mn", "Be", "H"],
  "frac_coords": [[0.000, 0.500, 0.000], [0.500, 0.000, 0.000], [0.000, 0.000, 0.500], [0.500, 0.500, 0.500], [0.500, 0.500, 0.000]],
  "volume_a3_per_atom": 10.65,
  "dos_ef_per_ev_cell": 1.3
}

***

Most stable: (b) (next structure +1.1 kJ/mol of atoms)

***

(a)
{
  "formula": "Be2MoH",
  "functional": "PBE",
  "state": "relaxed",
  "cell": [[5.394, 0.000, 0.000], [0.000, 5.394, 0.000], [0.000, 0.000, 5.394]],
  "species": ["Be", "Be", "Be", "Be", "Be", "Be", "Be", "Be", "Mo", "Mo", "Mo", "Mo", "H", "H", "H", "H"],
  "frac_coords": [[0.250, 0.250, 0.250], [0.250, 0.250, 0.750], [0.250, 0.750, 0.250], [0.250, 0.750, 0.750], [0.750, 0.250, 0.250], [0.750, 0.250, 0.750], [0.750, 0.750, 0.250], [0.750, 0.750, 0.750], [0.000, 0.000, 0.000], [0.000, 0.500, 0.500], [0.500, 0.000, 0.500], [0.500, 0.500, 0.000], [0.000, 0.000, 0.500], [0.000, 0.500, 0.000], [0.500, 0.000, 0.000], [0.500, 0.500, 0.500]],
  "volume_a3_per_atom": 9.81,
  "dos_ef_per_ev_cell": 13.6
}

***

(b)
{
  "formula": "Be2MoH",
  "functional": "PBE",
  "state": "relaxed",
  "cell": [[0.000, 3.246, 3.246], [3.246, 0.000, 3.246], [3.246, 3.246, 0.000]],
  "species": ["Be", "Be", "Be", "Be", "Mo", "Mo", "H", "H"],
  "frac_coords": [[0.000, 0.000, 0.000], [0.000, 0.000, 0.500], [0.000, 0.500, 0.000], [0.500, 0.000, 0.000], [0.375, 0.375, 0.375], [0.625, 0.625, 0.625], [0.125, 0.125, 0.125], [0.875, 0.875, 0.875]],
  "volume_a3_per_atom": 8.55,
  "dos_ef_per_ev_cell": 2.9
}

***

Most stable: (b) (next structure +86.6 kJ/mol of atoms)

***

(a)
{
  "formula": "BeMoH3",
  "functional": "PBE",
  "state": "relaxed",
  "cell": [[3.123, 0.000, 0.000], [0.000, 3.123, 0.000], [0.000, 0.000, 3.123]],
  "species": ["Be", "Mo", "H", "H", "H"],
  "frac_coords": [[0.000, 0.000, 0.000], [0.500, 0.500, 0.500], [0.000, 0.000, 0.500], [0.000, 0.500, 0.000], [0.500, 0.000, 0.000]],
  "volume_a3_per_atom": 6.09,
  "dos_ef_per_ev_cell": 2.1
}

***

(b)
{
  "formula": "BeMoH3",
  "functional": "PBE",
  "state": "relaxed",
  "cell": [[3.408, 0.000, 0.000], [0.000, 3.408, 0.000], [0.000, 0.000, 3.408]],
  "species": ["Be", "Mo", "H", "H", "H"],
  "frac_coords": [[0.000, 0.000, 0.000], [0.500, 0.500, 0.500], [0.000, 0.500, 0.500], [0.500, 0.000, 0.500], [0.500, 0.500, 0.000]],
  "volume_a3_per_atom": 7.92,
  "dos_ef_per_ev_cell": 1.3
}

***

Most stable: (a) (next structure +9.2 kJ/mol of atoms)

***

(a)
{
  "formula": "BeHN",
  "functional": "PBE",
  "state": "relaxed",
  "cell": [[4.998, 0.000, 0.000], [0.000, 3.097, 0.000], [0.000, 0.000, 4.813]],
  "species": ["Be", "Be", "Be", "Be", "H", "H", "H", "H", "N", "N", "N", "N"],
  "frac_coords": [[0.134, 0.250, 0.075], [0.366, 0.750, 0.575], [0.634, 0.250, 0.425], [0.866, 0.750, 0.925], [0.134, 0.250, 0.541], [0.366, 0.750, 0.041], [0.634, 0.250, 0.959], [0.866, 0.750, 0.459], [0.215, 0.750, 0.896], [0.285, 0.250, 0.396], [0.715, 0.750, 0.604], [0.785, 0.250, 0.104]],
  "volume_a3_per_atom": 6.21,
  "dos_ef_per_ev_cell": 0.0
}

***

(b)
{
  "formula": "BeHN",
  "functional": "PBE",
  "state": "relaxed",
  "cell": [[5.282, 0.000, 0.000], [0.000, 5.400, 0.000], [0.000, 0.000, 4.517]],
  "species": ["Be", "Be", "Be", "Be", "H", "H", "H", "H", "N", "N", "N", "N"],
  "frac_coords": [[0.000, 0.000, 0.000], [0.000, 0.500, 0.000], [0.500, 0.000, 0.500], [0.500, 0.500, 0.500], [0.170, 0.250, 0.499], [0.330, 0.750, 0.999], [0.670, 0.250, 0.001], [0.830, 0.750, 0.501], [0.137, 0.750, 0.000], [0.363, 0.250, 0.500], [0.637, 0.750, 0.500], [0.863, 0.250, 0.000]],
  "volume_a3_per_atom": 10.74,
  "dos_ef_per_ev_cell": 0.0
}

***

Most stable: (a) (next structure +26.9 kJ/mol of atoms)

***

(a)
{
  "formula": "BeHN",
  "functional": "PBE",
  "state": "relaxed",
  "cell": [[2.748, 0.000, 0.000], [0.000, 2.748, 0.000], [0.000, 0.000, 4.540]],
  "species": ["Be", "Be", "H", "H", "N", "N"],
  "frac_coords": [[0.000, 0.000, 0.000], [0.500, 0.500, 0.500], [0.000, 0.000, 0.403], [0.500, 0.500, 0.903], [0.000, 0.000, 0.627], [0.500, 0.500, 0.127]],
  "volume_a3_per_atom": 5.71,
  "dos_ef_per_ev_cell": 0.0
}

***

(b)
{
  "formula": "BeHN",
  "functional": "PBE",
  "state": "relaxed",
  "cell": [[4.930, 0.000, 0.000], [0.000, 2.461, 0.000], [0.000, 0.000, 5.505]],
  "species": ["Be", "Be", "Be", "Be", "H", "H", "H", "H", "N", "N", "N", "N"],
  "frac_coords": [[0.087, 0.250, 0.178], [0.413, 0.750, 0.678], [0.587, 0.250, 0.322], [0.913, 0.750, 0.822], [0.225, 0.250, 0.443], [0.275, 0.750, 0.943], [0.725, 0.250, 0.057], [0.775, 0.750, 0.557], [0.221, 0.250, 0.885], [0.279, 0.750, 0.385], [0.721, 0.250, 0.615], [0.779, 0.750, 0.115]],
  "volume_a3_per_atom": 5.57,
  "dos_ef_per_ev_cell": 0.0
}

***

(c)
{
  "formula": "BeHN",
  "functional": "PBE",
  "state": "relaxed",
  "cell": [[3.080, 0.000, 0.000], [0.000, 3.080, 0.000], [0.000, 0.000, 4.990]],
  "species": ["Be", "Be", "H", "H", "N", "N"],
  "frac_coords": [[0.250, 0.750, 0.000], [0.750, 0.250, 0.000], [0.250, 0.250, 0.367], [0.750, 0.750, 0.633], [0.250, 0.250, 0.163], [0.750, 0.750, 0.837]],
  "volume_a3_per_atom": 7.89,
  "dos_ef_per_ev_cell": 0.0
}

***

Most stable: (c) (next structure +70.6 kJ/mol of atoms)

***

(a)
{
  "formula": "Be2HN",
  "functional": "PBE",
  "state": "relaxed",
  "cell": [[3.861, 0.000, 0.000], [0.000, 3.861, 0.000], [0.000, 0.000, 8.151]],
  "species": ["Be", "Be", "Be", "Be", "Be", "Be", "Be", "Be", "H", "H", "H", "H", "N", "N", "N", "N"],
  "frac_coords": [[0.200, 0.250, 0.125], [0.250, 0.700, 0.375], [0.250, 0.800, 0.875], [0.300, 0.250, 0.625], [0.700, 0.750, 0.625], [0.750, 0.200, 0.875], [0.750, 0.300, 0.375], [0.800, 0.750, 0.125], [0.000, 0.000, 0.500], [0.000, 0.500, 0.750], [0.500, 0.000, 0.250], [0.500, 0.500, 0.000], [0.000, 0.000, 0.000], [0.000, 0.500, 0.250], [0.500, 0.000, 0.750], [0.500, 0.500, 0.500]],
  "volume_a3_per_atom": 7.60,
  "dos_ef_per_ev_cell": 0.0
}

***

(b)
{
  "formula": "Be2HN",
  "functional": "PBE",
  "state": "relaxed",
  "cell": [[4.496, 0.000, 0.000], [0.000, 4.496, 0.000], [0.000, 0.000, 4.496]],
  "species": ["Be", "Be", "Be", "Be", "Be", "Be", "Be", "Be", "H", "H", "H", "H", "N", "N", "N", "N"],
  "frac_coords": [[0.250, 0.250, 0.250], [0.250, 0.250, 0.750], [0.250, 0.750, 0.250], [0.250, 0.750, 0.750], [0.750, 0.250, 0.250], [0.750, 0.250, 0.750], [0.750, 0.750, 0.250], [0.750, 0.750, 0.750], [0.000, 0.000, 0.000], [0.000, 0.500, 0.500], [0.500, 0.000, 0.500], [0.500, 0.500, 0.000], [0.000, 0.000, 0.500], [0.000, 0.500, 0.000], [0.500, 0.000, 0.000], [0.500, 0.500, 0.500]],
  "volume_a3_per_atom": 5.68,
  "dos_ef_per_ev_cell": 0.0
}

***

Most stable: (a) (next structure +68.6 kJ/mol of atoms)

***

(a)
{
  "formula": "BeHPdN",
  "functional": "PBE",
  "state": "relaxed",
  "cell": [[2.827, 0.000, 0.000], [0.000, 3.020, 0.000], [0.000, 0.000, 9.025]],
  "species": ["Be", "Be", "H", "H", "Pd", "Pd", "N", "N"],
  "frac_coords": [[0.000, 0.000, 0.000], [0.500, 0.500, 0.500], [0.000, 0.500, 0.362], [0.500, 0.000, 0.862], [0.000, 0.000, 0.729], [0.500, 0.500, 0.229], [0.000, 0.500, 0.066], [0.500, 0.000, 0.566]],
  "volume_a3_per_atom": 9.63,
  "dos_ef_per_ev_cell": 0.3
}

***

(b)
{
  "formula": "BeHPdN",
  "functional": "PBE",
  "state": "relaxed",
  "cell": [[6.058, 0.000, 0.000], [0.000, 2.956, 0.000], [-1.696, 0.000, 4.203]],
  "species": ["Be", "Be", "H", "H", "Pd", "Pd", "N", "N"],
  "frac_coords": [[0.000, 0.000, 0.000], [0.500, 0.500, 0.000], [0.218, 0.000, 0.720], [0.718, 0.500, 0.720], [0.401, 0.000, 0.363], [0.901, 0.500, 0.363], [0.397, 0.000, 0.871], [0.897, 0.500, 0.871]],
  "volume_a3_per_atom": 9.41,
  "dos_ef_per_ev_cell": 0.9
}

***

(c)
{
  "formula": "BeHPdN",
  "functional": "PBE",
  "state": "relaxed",
  "cell": [[2.983, 0.000, 0.000], [-1.492, 2.583, 0.000], [0.000, 0.000, 4.455]],
  "species": ["Be", "H", "Pd", "N"],
  "frac_coords": [[0.000, 0.000, 0.000], [0.333, 0.667, 0.504], [0.667, 0.333, 0.500], [0.667, 0.333, 0.000]],
  "volume_a3_per_atom": 8.58,
  "dos_ef_per_ev_cell": 1.4
}

***

(d)
{
  "formula": "BeHPdN",
  "functional": "PBE",
  "state": "relaxed",
  "cell": [[2.841, 0.000, 0.000], [1.361, 2.493, 0.000], [0.721, 0.408, 5.277]],
  "species": ["Be", "H", "Pd", "N"],
  "frac_coords": [[0.000, 0.000, 0.000], [0.553, 0.559, 0.236], [0.648, 0.648, 0.596], [0.659, 0.659, 0.041]],
  "volume_a3_per_atom": 9.34,
  "dos_ef_per_ev_cell": 1.3
}

***

Most stable: (d) (next structure +1.9 kJ/mol of atoms)

***

(a)
{
  "formula": "BeHSN2",
  "functional": "PBE",
  "state": "relaxed",
  "cell": [[3.714, 0.000, 0.000], [0.000, 3.714, 0.000], [0.000, 0.000, 3.011]],
  "species": ["Be", "H", "S", "N", "N"],
  "frac_coords": [[0.000, 0.000, 0.000], [0.500, 0.500, 0.500], [0.500, 0.500, 0.000], [0.000, 0.500, 0.500], [0.500, 0.000, 0.500]],
  "volume_a3_per_atom": 8.31,
  "dos_ef_per_ev_cell": 2.8
}

***

(b)
{
  "formula": "BeHSN2",
  "functional": "PBE",
  "state": "relaxed",
  "cell": [[3.075, 0.000, 0.000], [0.000, 3.075, 0.000], [0.000, 0.000, 7.547]],
  "species": ["Be", "H", "S", "N", "N"],
  "frac_coords": [[0.000, 0.000, 0.000], [0.500, 0.500, 0.500], [0.000, 0.000, 0.500], [0.000, 0.500, 0.000], [0.500, 0.000, 0.000]],
  "volume_a3_per_atom": 14.27,
  "dos_ef_per_ev_cell": 4.6
}

***

Most stable: (b) (next structure +45.3 kJ/mol of atoms)

***

(a)
{
  "formula": "BeTeHN2",
  "functional": "PBE",
  "state": "relaxed",
  "cell": [[3.257, 0.000, 0.000], [0.000, 3.257, 0.000], [0.000, 0.000, 5.788]],
  "species": ["Be", "Te", "H", "N", "N"],
  "frac_coords": [[0.000, 0.000, 0.000], [0.000, 0.000, 0.500], [0.500, 0.500, 0.500], [0.000, 0.500, 0.000], [0.500, 0.000, 0.000]],
  "volume_a3_per_atom": 12.28,
  "dos_ef_per_ev_cell": 2.4
}

***

(b)
{
  "formula": "BeTeHN2",
  "functional": "PBE",
  "state": "relaxed",
  "cell": [[3.959, 0.000, 0.000], [0.000, 3.959, 0.000], [0.000, 0.000, 3.422]],
  "species": ["Be", "Te", "H", "N", "N"],
  "frac_coords": [[0.000, 0.000, 0.000], [0.500, 0.500, 0.000], [0.500, 0.500, 0.500], [0.000, 0.500, 0.500], [0.500, 0.000, 0.500]],
  "volume_a3_per_atom": 10.73,
  "dos_ef_per_ev_cell": 2.8
}

***

Most stable: (a) (next structure +77.2 kJ/mol of atoms)

***

(a)
{
  "formula": "BeTe2HN",
  "functional": "PBE",
  "state": "relaxed",
  "cell": [[4.752, 0.000, 0.000], [0.000, 4.752, 0.000], [0.000, 0.000, 3.180]],
  "species": ["Be", "Te", "Te", "H", "N"],
  "frac_coords": [[0.000, 0.000, 0.000], [0.000, 0.500, 0.500], [0.500, 0.000, 0.500], [0.000, 0.000, 0.500], [0.500, 0.500, 0.000]],
  "volume_a3_per_atom": 14.36,
  "dos_ef_per_ev_cell": 2.7
}

***

(b)
{
  "formula": "BeTe2HN",
  "functional": "PBE",
  "state": "relaxed",
  "cell": [[5.289, 0.000, 0.000], [0.000, 5.289, 0.000], [0.000, 0.000, 3.063]],
  "species": ["Be", "Te", "Te", "H", "N"],
  "frac_coords": [[0.000, 0.000, 0.000], [0.000, 0.500, 0.000], [0.500, 0.000, 0.000], [0.500, 0.500, 0.500], [0.000, 0.000, 0.500]],
  "volume_a3_per_atom": 17.14,
  "dos_ef_per_ev_cell": 3.7
}

***

(c)
{
  "formula": "BeTe2HN",
  "functional": "PBE",
  "state": "relaxed",
  "cell": [[5.068, 0.000, 0.000], [0.000, 5.068, 0.000], [0.000, 0.000, 2.891]],
  "species": ["Be", "Te", "Te", "H", "N"],
  "frac_coords": [[0.000, 0.000, 0.000], [0.000, 0.500, 0.500], [0.500, 0.000, 0.500], [0.500, 0.500, 0.500], [0.500, 0.500, 0.000]],
  "volume_a3_per_atom": 14.85,
  "dos_ef_per_ev_cell": 2.1
}

***

Most stable: (b) (next structure +34.1 kJ/mol of atoms)